[1]
The following is a DFT calculation (PBE-GGA) of a relaxed structure of La4GeI2N.

Properties
calculated density = 6.244 g cm⁻³
V = 238.3 Å³ per cell
E_form (uncorrected) = -1.146 eV per atom

Unit cell a=7.2249 b=4.1494 c=8.3202 alpha=90.00 beta=107.18 gamma=90.00
Closest atoms and distances in Å follow each position.
Space group P2/m (No. 10)
One atom of each set of equivalent atoms:
La: 0.2002 0.0000 0.1791 (multiplicity 2)  2 N 2.71, 1 Ge 2.97
La: 0.2284 0.5000 0.8153 (multiplicity 2)  1 N 2.57
Ge: 0.5000 0.0000 0.0000 (multiplicity 1)  6 La 2.96-2.97
I: 0.0000 0.0000 0.5000 (multiplicity 1)  6 La 3.37-3.39
I: 0.5000 0.5000 0.5000 (multiplicity 1)  6 La 3.56-3.71
N: 0.0000 0.5000 0.0000 (multiplicity 1)  6 La 2.57-2.71


[2]
The following is a DFT calculation (PBE-GGA) of a relaxed structure of LiSi2Ir2.

Properties
calculated density = 9.589 g cm⁻³
V = 155.0 Å³ per cell
E_form (uncorrected) = -0.544 eV per atom

Unit cell a=3.7156 b=3.7156 c=11.2275 alpha=90.00 beta=90.00 gamma=90.00
Closest atoms and distances in Å follow each position.
Space group I4/mmm (No. 139)
One atom of each set of equivalent atoms:
Li: 0.0000 0.0000 0.0000 (multiplicity 2)  8 Ir 2.94
Si: 0.0000 0.5000 0.2500 (multiplicity 4)  4 Ir 2.38, 4 Si 2.63
Ir: 0.0000 0.0000 0.3831 (multiplicity 4)  4 Si 2.38, 1 Ir 2.62


[3]
The following is a DFT calculation (PBE-GGA) of a relaxed structure of TmTiAlIn.

Properties
energy of formation from the pure elements = -169 meV/atom
calculated density = 7.113 g cm⁻³
V = 334.9 Å³ per cell

Unit cell a=6.9443 b=6.9443 c=6.9443 alpha=90.00 beta=90.00 gamma=90.00
Closest atoms and distances in Å follow each position.
Space group F-43m (No. 216)
One atom of each set of equivalent atoms:
Tm: 0.0000 0.0000 0.0000 (multiplicity 4)  4 In 3.01, 4 Al 3.01
Ti: 0.0000 0.0000 0.5000 (multiplicity 4)  4 In 3.01, 4 Al 3.01
Al: 0.2500 0.2500 0.7500 (multiplicity 4)  4 Tm 3.01, 4 Ti 3.01
In: 0.2500 0.2500 0.2500 (multiplicity 4)  4 Tm 3.01, 4 Ti 3.01


Copy entry 1 word for word.
The following is a DFT calculation (PBE-GGA) of a relaxed structure of La4GeI2N.

Properties
calculated density = 6.244 g cm⁻³
V = 238.3 Å³ per cell
E_form (uncorrected) = -1.146 eV per atom

Unit cell a=7.2249 b=4.1494 c=8.3202 alpha=90.00 beta=107.18 gamma=90.00
Closest atoms and distances in Å follow each position.
Space group P2/m (No. 10)
One atom of each set of equivalent atoms:
La: 0.2002 0.0000 0.1791 (multiplicity 2)  2 N 2.71, 1 Ge 2.97
La: 0.2284 0.5000 0.8153 (multiplicity 2)  1 N 2.57
Ge: 0.5000 0.0000 0.0000 (multiplicity 1)  6 La 2.96-2.97
I: 0.0000 0.0000 0.5000 (multiplicity 1)  6 La 3.37-3.39
I: 0.5000 0.5000 0.5000 (multiplicity 1)  6 La 3.56-3.71
N: 0.0000 0.5000 0.0000 (multiplicity 1)  6 La 2.57-2.71


V of number 1 (La4GeI2N)?
238.3 Å³ per cell


Which of these has the highest V?
TmTiAlIn